Entry from Alexandria via LeMat-Bulk: a relaxed CrCuMo2 crystal (PBE-GGA).

Structure (extended XYZ):
```
4
Lattice="-4.176 -1.151 -2.487 -0.434 0.180 4.973 -1.188 2.291 0.187" Properties=species:S:1:pos:R:3 pbc="T T T"
Cr -2.682 0.570 -1.150
Cu -0.811 1.235 2.580
Mo 0.000 0.000 0.000
Mo -2.305 -0.485 1.243
```

Summary:
**DFT formation energy**: 1.01 eV per formula unit
**Total moment**: 0.00 μB per atom